Record 1
Compound: Ce2PmV
Source: Alexandria via LeMat-Bulk
Functional: GGA-PBE
Structure: relaxed

extended XYZ file:
```
4
Lattice="-2.059 -2.368 0.642 -0.237 -2.500 -1.989 7.248 -7.011 5.369" Properties=species:S:1:pos:R:3 pbc="T T T"
Ce -0.526 -6.058 -0.062
Ce 5.479 -5.821 4.085
Pm 2.476 -5.939 2.011
V 0.000 0.000 0.000
```

Computed properties:
Space-group type: R-3m, No. 166
Volume (A^3/atom): 25.04

---

Record 2
Compound: Ce2Pm2Y7
Source: Alexandria via LeMat-Bulk
Functional: GGA-PBE
Structure: relaxed

extended XYZ file:
```
11
Lattice="5.871 0.548 1.321 1.355 7.960 0.541 0.505 -0.964 8.019" Properties=species:S:1:pos:R:3 pbc="T T T"
Y 2.252 4.244 5.321
Y 5.478 3.299 4.560
Y 5.873 2.817 8.799
Y 1.411 0.056 4.996
Y 0.000 0.000 0.000
Y 6.318 7.488 4.885
Y 1.856 4.727 1.082
Ce 4.109 6.333 2.795
Ce 3.621 1.211 7.087
Pm 4.900 5.721 7.385
Pm 2.830 1.822 2.496
```

Computed properties:
Space-group type: C2/m, No. 12
Volume (A^3/atom): 33.18

---

Energy of formation from the pure elements per entry: 0.514, 0.202 eV/atom
Calculated total energy per entry: -5.92, -5.85 eV per atom